Entry 1:
# PuTh3Au4 (PBE, optimized geometry)
# N(E_F) ... 14.587 states/eV/cell
# Theoretical density ... 14.2 g cm⁻³
# E_form ... -519 meV per atom
data_PuTh3Au4
_space_group_name_H-M_alt 'P 1'
_space_group_IT_number 1
_space_group_name_Hall 'P 1'
_cell_length_a 3.6316
_cell_length_b 3.6316
_cell_length_c 15.3428
_cell_angle_alpha 90.00
_cell_angle_beta 90.00
_cell_angle_gamma 90.00
loop_
_atom_site_label
_atom_site_type_symbol
_atom_site_fract_x
_atom_site_fract_y
_atom_site_fract_z
Au1 Au 0.0000 0.0000 0.8779
Au2 Au 0.0000 0.0000 0.1221
Au3 Au 0.0000 0.0000 0.3736
Au4 Au 0.0000 0.0000 0.6264
Th1 Th 0.5000 0.5000 0.2466
Th2 Th 0.5000 0.5000 0.5000
Th3 Th 0.5000 0.5000 0.7534
Pu1 Pu 0.5000 0.5000 0.0000



Entry 2:
# PuThAu2 (PBE, optimized geometry)
# N(E_F) ... 13.546 states/eV/cell
# Theoretical density ... 14.0 g cm⁻³
# Energy relative to the lowest polymorph listed for this composition ... 0 meV/atom
# E_form ... -490 meV per atom
data_PuThAu2
_space_group_name_H-M_alt 'P 1'
_space_group_IT_number 1
_space_group_name_Hall 'P 1'
_cell_length_a 3.8620
_cell_length_b 4.6912
_cell_length_c 6.0285
_cell_angle_alpha 90.00
_cell_angle_beta 108.98
_cell_angle_gamma 90.00
loop_
_atom_site_label
_atom_site_type_symbol
_atom_site_fract_x
_atom_site_fract_y
_atom_site_fract_z
Pu1 Pu 0.4364 0.5000 0.4150
Th1 Th 0.7276 0.0000 0.9914
Au1 Au 0.1674 0.5000 0.8727
Au2 Au 0.9995 0.0000 0.5389



Entry 3:
# PuThAu3 (PBE, optimized geometry)
# N(E_F) ... 24.920 states/eV/cell
# Theoretical density ... 15.1 g cm⁻³
# Energy relative to the lowest polymorph listed for this composition ... 0 meV/atom
# E_form ... -556 meV per atom
data_PuThAu3
_space_group_name_H-M_alt 'P 1'
_space_group_IT_number 1
_space_group_name_Hall 'P 1'
_cell_length_a 3.4442
_cell_length_b 4.7819
_cell_length_c 14.3650
_cell_angle_alpha 90.00
_cell_angle_beta 96.89
_cell_angle_gamma 90.00
loop_
_atom_site_label
_atom_site_type_symbol
_atom_site_fract_x
_atom_site_fract_y
_atom_site_fract_z
Pu1 Pu 0.2125 0.7500 0.4250
Pu2 Pu 0.7875 0.2500 0.5750
Th1 Th 0.9266 0.7500 0.8532
Th2 Th 0.0734 0.2500 0.1468
Au1 Au 0.6216 0.7500 0.2431
Au2 Au 0.3784 0.2500 0.7569
Au3 Au 0.5241 0.7500 0.0482
Au4 Au 0.4759 0.2500 0.9518
Au5 Au 0.6769 0.2500 0.3537
Au6 Au 0.3231 0.7500 0.6463



Entry 4:
# Pu2ThAu2 (PBE, optimized geometry)
# N(E_F) ... 16.444 states/eV/cell
# Theoretical density ... 14.2 g cm⁻³
# E_form ... -234 meV per atom
data_Pu2ThAu2
_space_group_name_H-M_alt 'P 1'
_space_group_IT_number 1
_space_group_name_Hall 'P 1'
_cell_length_a 3.3754
_cell_length_b 3.6589
_cell_length_c 10.7319
_cell_angle_alpha 80.18
_cell_angle_beta 90.00
_cell_angle_gamma 90.00
loop_
_atom_site_label
_atom_site_type_symbol
_atom_site_fract_x
_atom_site_fract_y
_atom_site_fract_z
Pu1 Pu 0.0000 0.1847 0.6307
Pu2 Pu 0.0000 0.8153 0.3693
Th1 Th 0.0000 0.0000 0.0000
Au1 Au 0.5000 0.4048 0.1905
Au2 Au 0.5000 0.5952 0.8095



Entry 5:
# Pu2ThAu (PBE, optimized geometry)
# N(E_F) ... 15.069 states/eV/cell
# Theoretical density ... 15.3 g cm⁻³
# Energy relative to the lowest polymorph listed for this composition ... 137 meV/atom
# E_form ... -7 meV per atom
data_Pu2ThAu
_space_group_name_H-M_alt 'P 1'
_space_group_IT_number 1
_space_group_name_Hall 'P 1'
_cell_length_a 5.2045
_cell_length_b 5.2045
_cell_length_c 5.2045
_cell_angle_alpha 60.00
_cell_angle_beta 60.00
_cell_angle_gamma 60.00
loop_
_atom_site_label
_atom_site_type_symbol
_atom_site_fract_x
_atom_site_fract_y
_atom_site_fract_z
Au1 Au 0.0000 0.0000 0.0000
Th1 Th 0.5000 0.5000 0.5000
Pu1 Pu 0.2500 0.2500 0.2500
Pu2 Pu 0.7500 0.7500 0.7500



Entry 6:
# Pu2ThZn2Au2 (PBE, optimized geometry)
# N(E_F) ... 8.892 states/eV/cell
# Theoretical density ... 14.2 g cm⁻³
# E_form ... -183 meV per atom
data_Pu2ThZn2Au2
_space_group_name_H-M_alt 'P 1'
_space_group_IT_number 1
_space_group_name_Hall 'P 1'
_cell_length_a 3.5626
_cell_length_b 4.6633
_cell_length_c 9.4930
_cell_angle_alpha 93.38
_cell_angle_beta 90.00
_cell_angle_gamma 112.46
loop_
_atom_site_label
_atom_site_type_symbol
_atom_site_fract_x
_atom_site_fract_y
_atom_site_fract_z
Pu1 Pu 0.1638 0.3277 0.4699
Pu2 Pu 0.8362 0.6723 0.5301
Th1 Th 0.0000 0.0000 0.0000
Zn1 Zn 0.5637 0.1275 0.7125
Zn2 Zn 0.4363 0.8725 0.2875
Au1 Au 0.7198 0.4397 0.1937
Au2 Au 0.2802 0.5603 0.8063



Entry 7:
# PuTi2Au (PBE, optimized geometry)
# N(E_F) ... 11.367 states/eV/cell
# Theoretical density ... 12.0 g cm⁻³
# Energy relative to the lowest polymorph listed for this composition ... 113 meV/atom
# E_form ... -40 meV per atom
data_PuTi2Au
_space_group_name_H-M_alt 'P 1'
_space_group_IT_number 1
_space_group_name_Hall 'P 1'
_cell_length_a 4.7220
_cell_length_b 4.7220
_cell_length_c 4.7234
_cell_angle_alpha 60.01
_cell_angle_beta 60.01
_cell_angle_gamma 60.00
loop_
_atom_site_label
_atom_site_type_symbol
_atom_site_fract_x
_atom_site_fract_y
_atom_site_fract_z
Ti1 Ti 0.2499 0.2499 0.2503
Ti2 Ti 0.7501 0.7501 0.7497
Au1 Au 0.0000 0.0000 0.0000
Pu1 Pu 0.5000 0.5000 0.5000



Entry 8:
# PuTiAu (PBE, optimized geometry)
# N(E_F) ... 18.287 states/eV/cell
# Theoretical density ... 12.1 g cm⁻³
# Energy relative to the lowest polymorph listed for this composition ... 0 meV/atom
# E_form ... -149 meV per atom
data_PuTiAu
_space_group_name_H-M_alt 'P 1'
_space_group_IT_number 1
_space_group_name_Hall 'P 1'
_cell_length_a 4.3856
_cell_length_b 4.3856
_cell_length_c 7.6475
_cell_angle_alpha 106.73
_cell_angle_beta 106.73
_cell_angle_gamma 90.09
loop_
_atom_site_label
_atom_site_type_symbol
_atom_site_fract_x
_atom_site_fract_y
_atom_site_fract_z
Au1 Au 0.8791 0.8791 0.7601
Au2 Au 0.1209 0.1209 0.2399
Pu1 Pu 0.3284 0.3284 0.6583
Pu2 Pu 0.6716 0.6716 0.3417
Ti1 Ti 0.5000 0.0000 0.0000
Ti2 Ti 0.0000 0.5000 0.0000



Entry 9:
# PuTiAu2 (PBE, optimized geometry)
# N(E_F) ... 7.501 states/eV/cell
# Theoretical density ... 14.3 g cm⁻³
# Energy relative to the lowest polymorph listed for this composition ... 0 meV/atom
# E_form ... -367 meV per atom
data_PuTiAu2
_space_group_name_H-M_alt 'P 1'
_space_group_IT_number 1
_space_group_name_Hall 'P 1'
_cell_length_a 3.1622
_cell_length_b 3.1622
_cell_length_c 7.9661
_cell_angle_alpha 90.00
_cell_angle_beta 90.00
_cell_angle_gamma 90.00
loop_
_atom_site_label
_atom_site_type_symbol
_atom_site_fract_x
_atom_site_fract_y
_atom_site_fract_z
Ti1 Ti 0.5000 0.5000 0.0000
Au1 Au 0.0000 0.0000 0.7889
Au2 Au 0.0000 0.0000 0.2111
Pu1 Pu 0.5000 0.5000 0.5000



Entry 10:
# PuTiAu (PBE, optimized geometry)
# N(E_F) ... 7.555 states/eV/cell
# Theoretical density ... 12.6 g cm⁻³
# Energy relative to the lowest polymorph listed for this composition ... 97 meV/atom
# E_form ... -52 meV per atom
data_PuTiAu
_space_group_name_H-M_alt 'P 1'
_space_group_IT_number 1
_space_group_name_Hall 'P 1'
_cell_length_a 3.3411
_cell_length_b 4.7118
_cell_length_c 4.7118
_cell_angle_alpha 120.00
_cell_angle_beta 90.00
_cell_angle_gamma 90.00
loop_
_atom_site_label
_atom_site_type_symbol
_atom_site_fract_x
_atom_site_fract_y
_atom_site_fract_z
Ti1 Ti 0.1664 0.3333 0.6667
Au1 Au 0.1669 0.0000 0.0000
Pu1 Pu 0.6667 0.6667 0.3333



Entry 11:
# PuTiAu2 (PBE, optimized geometry)
# N(E_F) ... 10.821 states/eV/cell
# Theoretical density ... 13.8 g cm⁻³
# Energy relative to the lowest polymorph listed for this composition ... 120 meV/atom
# E_form ... -247 meV per atom
data_PuTiAu2
_space_group_name_H-M_alt 'P 1'
_space_group_IT_number 1
_space_group_name_Hall 'P 1'
_cell_length_a 3.1291
_cell_length_b 5.1372
_cell_length_c 5.1372
_cell_angle_alpha 90.00
_cell_angle_beta 90.00
_cell_angle_gamma 90.00
loop_
_atom_site_label
_atom_site_type_symbol
_atom_site_fract_x
_atom_site_fract_y
_atom_site_fract_z
Ti1 Ti 0.5000 0.5000 0.5000
Au1 Au 0.0000 0.0000 0.5000
Au2 Au 0.0000 0.5000 0.0000
Pu1 Pu 0.5000 0.0000 0.0000



Entry 12:
# PuTi2Au (PBE, optimized geometry)
# N(E_F) ... 4.750 states/eV/cell
# Theoretical density ... 12.0 g cm⁻³
# Energy relative to the lowest polymorph listed for this composition ... 29 meV/atom
# E_form ... -125 meV per atom
data_PuTi2Au
_space_group_name_H-M_alt 'P 1'
_space_group_IT_number 1
_space_group_name_Hall 'P 1'
_cell_length_a 3.2191
_cell_length_b 3.2191
_cell_length_c 7.1588
_cell_angle_alpha 90.00
_cell_angle_beta 90.00
_cell_angle_gamma 90.00
loop_
_atom_site_label
_atom_site_type_symbol
_atom_site_fract_x
_atom_site_fract_y
_atom_site_fract_z
Ti1 Ti 0.0000 0.0000 0.7342
Ti2 Ti 0.0000 0.0000 0.2658
Au1 Au 0.5000 0.5000 0.5000
Pu1 Pu 0.5000 0.5000 0.0000



Entry 13:
# PuTiAu2 (PBE, optimized geometry)
# N(E_F) ... 12.845 states/eV/cell
# Theoretical density ... 13.5 g cm⁻³
# Energy relative to the lowest polymorph listed for this composition ... 147 meV/atom
# E_form ... -220 meV per atom
data_PuTiAu2
_space_group_name_H-M_alt 'P 1'
_space_group_IT_number 1
_space_group_name_Hall 'P 1'
_cell_length_a 4.9258
_cell_length_b 4.9258
_cell_length_c 4.9258
_cell_angle_alpha 60.00
_cell_angle_beta 60.00
_cell_angle_gamma 60.00
loop_
_atom_site_label
_atom_site_type_symbol
_atom_site_fract_x
_atom_site_fract_y
_atom_site_fract_z
Ti1 Ti 0.5000 0.5000 0.5000
Au1 Au 0.2500 0.2500 0.2500
Au2 Au 0.7500 0.7500 0.7500
Pu1 Pu 0.0000 0.0000 0.0000



Entry 14:
# Pu2TiAu (PBE, optimized geometry)
# N(E_F) ... 9.909 states/eV/cell
# Theoretical density ... 14.5 g cm⁻³
# Energy relative to the lowest polymorph listed for this composition ... 0 meV/atom
# E_form ... -47 meV per atom
data_Pu2TiAu
_space_group_name_H-M_alt 'P 1'
_space_group_IT_number 1
_space_group_name_Hall 'P 1'
_cell_length_a 4.8067
_cell_length_b 4.1846
_cell_length_c 4.1846
_cell_angle_alpha 90.00
_cell_angle_beta 90.00
_cell_angle_gamma 90.00
loop_
_atom_site_label
_atom_site_type_symbol
_atom_site_fract_x
_atom_site_fract_y
_atom_site_fract_z
Ti1 Ti 0.5000 0.0000 0.0000
Au1 Au 0.5000 0.5000 0.5000
Pu1 Pu 0.0000 0.0000 0.5000
Pu2 Pu 0.0000 0.5000 0.0000